VASP calculation (PBE-GGA) on a geometry-optimized Pr7Nd4Er structure.

Unit cell a=6.423 b=7.423 c=9.204 alpha=89.97 beta=76.50 gamma=90.00
Sites, in units of the cell vectors:
Pr: 0.000 0.000 0.000
Pr: 0.222 0.500 0.332
Pr: 0.277 0.251 0.670
Pr: 0.500 0.252 0.000
Pr: 0.500 0.748 0.000
Pr: 0.723 0.749 0.330
Pr: 0.778 0.500 0.668
Nd: 0.224 0.000 0.333
Nd: 0.277 0.749 0.671
Nd: 0.723 0.251 0.329
Nd: 0.776 0.000 0.667
Er: 0.000 0.500 0.000

Values from the calculation:
raw total energy = -0.1743 hartree per atom
total magnetization = 0.00 μB/f.u.
energy of formation = 13 meV per atom
space group = No. 2
D(E_F) = 15.84 states/eV per cell

VASP calculation (PBE-GGA) on a geometry-optimized Pr2NdEr9 structure.

Unit cell a=11.259 b=11.259 c=3.509 alpha=90.00 beta=90.00 gamma=120.00
Sites, in units of the cell vectors:
Pr: 0.333 0.667 0.000
Pr: 0.667 0.333 0.000
Nd: 0.000 0.000 0.000
Er: 0.000 0.500 0.000
Er: 0.175 0.351 0.500
Er: 0.175 0.825 0.500
Er: 0.351 0.175 0.500
Er: 0.500 0.000 0.000
Er: 0.500 0.500 0.000
Er: 0.649 0.825 0.500
Er: 0.825 0.175 0.500
Er: 0.825 0.649 0.500

Values from the calculation:
raw total energy = -0.1671 hartree per atom
total magnetization = 0.00 μB/f.u.
energy of formation = 68 meV per atom
space group = No. 191
D(E_F) = 18.94 states/eV per cell

VASP calculation (PBE-GGA) on a geometry-optimized Pr2Nd3Er7 structure.

Unit cell a=5.832 b=3.590 c=18.926 alpha=90.00 beta=93.18 gamma=90.00
Sites, in units of the cell vectors:
Pr: 0.210 0.000 0.291
Pr: 0.790 0.000 0.709
Nd: 0.000 0.000 0.000
Nd: 0.276 0.500 0.630
Nd: 0.724 0.500 0.370
Er: 0.189 0.500 0.141
Er: 0.242 0.000 0.461
Er: 0.309 0.000 0.830
Er: 0.500 0.500 0.000
Er: 0.691 0.000 0.170
Er: 0.758 0.000 0.539
Er: 0.811 0.500 0.859

Values from the calculation:
raw total energy = -0.1677 hartree per atom
total magnetization = 0.00 μB/f.u.
energy of formation = 88 meV per atom
space group = No. 10
D(E_F) = 14.06 states/eV per cell

| no. | relative energy among the computed polymorphs (eV/atom) |
| --- | --- |
| 1 | 0.000 |
| 2 | 0.042 |
| 3 | 0.000 |